(1)
First-principles (GGA-PBE) data for a geometry-optimized FeCuPdC2 structure, as listed in the Alexandria database. Values from VASP.

```
&SYSTEM
  ibrav = 0, nat = 5, ntyp = 4
/
ATOMIC_SPECIES
Fe 55.84 Fe.upf
Cu 63.55 Cu.upf
Pd 106.42 Pd.upf
C 12.01 C.upf
CELL_PARAMETERS angstrom
3.727 0.000 0.000
0.000 3.727 0.000
0.000 0.000 4.660
ATOMIC_POSITIONS crystal
Fe 0.000 0.000 0.000
Cu 0.000 0.000 0.500
Pd 0.500 0.500 0.000
C 0.000 0.500 0.500
C 0.500 0.000 0.500
```

Computed properties:
As for the space-group type: P4/mmm. Its energy relative to the elements is 2033 meV per atom.

***

(2)
First-principles (GGA-PBE) data for a geometry-optimized Sr2EuDy structure, as listed in the Alexandria database. Values from VASP.

```
&SYSTEM
  ibrav = 0, nat = 16, ntyp = 3
/
ATOMIC_SPECIES
Sr 87.62 Sr.upf
Eu 151.96 Eu.upf
Dy 162.50 Dy.upf
CELL_PARAMETERS angstrom
8.848 0.000 0.000
0.000 8.848 0.000
0.000 0.000 8.848
ATOMIC_POSITIONS crystal
Sr 0.250 0.250 0.250
Sr 0.250 0.250 0.750
Sr 0.250 0.750 0.250
Sr 0.250 0.750 0.750
Sr 0.750 0.250 0.250
Sr 0.750 0.250 0.750
Sr 0.750 0.750 0.250
Sr 0.750 0.750 0.750
Eu 0.000 0.000 0.000
Eu 0.000 0.500 0.500
Eu 0.500 0.000 0.500
Eu 0.500 0.500 0.000
Dy 0.000 0.000 0.500
Dy 0.000 0.500 0.000
Dy 0.500 0.000 0.000
Dy 0.500 0.500 0.500
```

Computed properties:
For the polymorph energy (0 for the lowest one), the calculation gives 32 meV per atom. As for the space-group type: Fm-3m. Its energy relative to the elements is 195 meV per atom.

***

(3)
First-principles (GGA-PBE) data for a geometry-optimized Si2NiHg structure, as listed in the Alexandria database. Values from VASP.

```
&SYSTEM
  ibrav = 0, nat = 4, ntyp = 3
/
ATOMIC_SPECIES
Si 28.09 Si.upf
Ni 58.69 Ni.upf
Hg 200.59 Hg.upf
CELL_PARAMETERS angstrom
2.801 0.000 0.000
0.000 2.801 0.000
0.000 0.000 8.816
ATOMIC_POSITIONS crystal
Si 0.000 0.000 0.167
Si 0.000 0.000 0.833
Ni 0.500 0.500 0.000
Hg 0.500 0.500 0.500
```

Computed properties:
The formation energy from raw total energies comes out at 12.5 kJ per mole of atoms. As for the space-group type: P4/mmm.

***

(4)
First-principles (GGA-PBE) data for a geometry-optimized TbSeS2 structure, as listed in the Alexandria database. Values from VASP.

```
&SYSTEM
  ibrav = 0, nat = 8, ntyp = 3
/
ATOMIC_SPECIES
Tb 158.93 Tb.upf
Se 78.96 Se.upf
S 32.06 S.upf
CELL_PARAMETERS angstrom
4.301 0.000 0.000
0.000 4.311 0.000
0.000 0.000 9.440
ATOMIC_POSITIONS crystal
Tb 0.250 0.250 0.196
Tb 0.750 0.750 0.804
Se 0.250 0.250 0.886
Se 0.750 0.750 0.114
S 0.250 0.750 0.396
S 0.250 0.750 0.604
S 0.750 0.250 0.396
S 0.750 0.250 0.604
```

Computed properties:
The formation energy from raw total energies comes out at -94.8 kJ per mole of atoms. As for the space-group type: Pmmn.

***

Ordered total moment results: 3.6; 7.3; 0.0; 0.0; unit μB/f.u..
Ordered DFT total energy results: -0.19137; -0.16043; -0.15077; -0.18649; unit hartree per atom.
Ordered density results: 6.41; 4.70; 7.58; 5.73; unit g cm⁻³.